# Nb2MoAu2

A relaxed Nb2MoAu2 crystal (PBE, Alexandria via LeMat-Bulk).

```
data_Nb2MoAu2
_chemical_formula_sum 'Nb4 Mo2 Au4'
_cell_length_a 3.747
_cell_length_b 3.747
_cell_length_c 13.433
_cell_angle_alpha 90.00
_cell_angle_beta 90.00
_cell_angle_gamma 90.00
_space_group_name_H-M_alt 'I 4/m m m'
_space_group_IT_number 139
_space_group_name_Hall '-I 4 2'
loop_
_atom_site_label
_atom_site_type_symbol
_atom_site_fract_x
_atom_site_fract_y
_atom_site_fract_z
_atom_site_occupancy
Nb1 Nb 0.000 0.500 0.250 1
Mo1 Mo 0.000 0.000 0.000 1
Au1 Au 0.000 0.000 0.405 1
```

Calculated values
Energy above the most stable polymorph in this dataset, meV/atom: 250.7


# KYbBeF6

A relaxed KYbBeF6 crystal (PBE, Alexandria via LeMat-Bulk).

```
data_KYbBeF6
_chemical_formula_sum 'K2 Yb2 Be2 F12'
_cell_length_a 6.463
_cell_length_b 5.854
_cell_length_c 7.092
_cell_angle_alpha 90.00
_cell_angle_beta 113.01
_cell_angle_gamma 90.00
_space_group_name_H-M_alt 'P 1 21/m 1'
_space_group_IT_number 11
loop_
_space_group_symop_operation_xyz
'x,y,z'
'-x,-y,-z'
'-x,y+1/2,-z'
'x,-y+1/2,z'
loop_
_atom_site_label
_atom_site_type_symbol
_atom_site_fract_x
_atom_site_fract_y
_atom_site_fract_z
_atom_site_occupancy
K1 K 0.069 0.250 0.205 1
Yb1 Yb 0.387 0.250 0.817 1
Be1 Be 0.231 0.750 0.462 1
F1 F 0.012 0.750 0.259 1
F2 F 0.230 0.534 0.592 1
F3 F 0.322 0.502 0.034 1
F4 F 0.440 0.750 0.408 1
```

Calculated values
Formation energy (no corrections), meV/atom: -3300


# Cs3Ac2HoSe6

A relaxed Cs3Ac2HoSe6 crystal (PBE, Alexandria via LeMat-Bulk).

```
data_Cs3Ac2HoSe6
_chemical_formula_sum 'Cs6 Ac4 Ho2 Se12'
_cell_length_a 7.817
_cell_length_b 13.538
_cell_length_c 8.811
_cell_angle_alpha 90.00
_cell_angle_beta 107.23
_cell_angle_gamma 90.00
_space_group_name_H-M_alt 'C 1 2/m 1'
_space_group_IT_number 12
loop_
_space_group_symop_operation_xyz
'x,y,z'
'-x,-y,-z'
'-x,y,-z'
'x,-y,z'
'x+1/2,y+1/2,z'
'-x+1/2,-y+1/2,-z'
'-x+1/2,y+1/2,-z'
'x+1/2,-y+1/2,z'
loop_
_atom_site_label
_atom_site_type_symbol
_atom_site_fract_x
_atom_site_fract_y
_atom_site_fract_z
_atom_site_occupancy
Cs1 Cs 0.000 0.000 0.000 1
Cs2 Cs 0.000 0.331 0.000 1
Ac1 Ac 0.000 0.166 0.500 1
Ho1 Ho 0.000 0.500 0.500 1
Se1 Se 0.221 0.343 0.691 1
Se2 Se 0.249 0.500 0.308 1
```

Calculated values
Formation energy (no corrections), meV/atom: -1767


# Tb6Tm8Pb

A relaxed Tb6Tm8Pb crystal (PBE, Alexandria via LeMat-Bulk).

```
data_Tb6Tm8Pb
_chemical_formula_sum 'Tb6 Tm8 Pb1'
_cell_length_a 9.1622
_cell_length_b 9.1622
_cell_length_c 6.6553
_cell_angle_alpha 90.00
_cell_angle_beta 90.00
_cell_angle_gamma 120.00
_space_group_name_H-M_alt 'P -3'
_space_group_IT_number 147
loop_
_space_group_symop_operation_xyz
'x,y,z'
'-x,-y,-z'
'-y,x-y,z'
'y,-x+y,-z'
'-x+y,-x,z'
'x-y,x,-z'
loop_
_atom_site_label
_atom_site_type_symbol
_atom_site_fract_x
_atom_site_fract_y
_atom_site_fract_z
_atom_site_occupancy
Tb1 Tb 0.0819 0.6846 0.0990 1
Tm1 Tm 0.0216 0.3380 0.3974 1
Tm2 Tm 0.3333 0.6667 0.6891 1
Pb1 Pb 0.0000 0.0000 0.0000 1
```


# PmHo2ErTl2

A relaxed PmHo2ErTl2 crystal (PBE, Alexandria via LeMat-Bulk).

```
data_PmHo2ErTl2
_chemical_formula_sum 'Pm2 Ho4 Er2 Tl4'
_cell_length_a 5.112
_cell_length_b 9.989
_cell_length_c 6.828
_cell_angle_alpha 90.00
_cell_angle_beta 90.00
_cell_angle_gamma 90.00
_space_group_name_H-M_alt 'P m c 21'
_space_group_IT_number 26
loop_
_space_group_symop_operation_xyz
'x,y,z'
'-x,-y,z+1/2'
'-x,y,z'
'x,-y,z+1/2'
loop_
_atom_site_label
_atom_site_type_symbol
_atom_site_fract_x
_atom_site_fract_y
_atom_site_fract_z
_atom_site_occupancy
Pm1 Pm 0.000 0.043 0.000 1
Ho1 Ho 0.000 0.317 0.378 1
Ho2 Ho 0.500 0.455 0.092 1
Er1 Er 0.500 0.192 0.719 1
Tl1 Tl 0.000 0.367 0.838 1
Tl2 Tl 0.500 0.136 0.262 1
```


# LiHfPO2

A relaxed LiHfPO2 crystal (PBE, Alexandria via LeMat-Bulk).

```
data_LiHfPO2
_chemical_formula_sum 'Li1 Hf1 P1 O2'
_cell_length_a 3.748
_cell_length_b 3.748
_cell_length_c 4.075
_cell_angle_alpha 90.00
_cell_angle_beta 90.00
_cell_angle_gamma 90.00
_space_group_name_H-M_alt 'P 4/m m m'
_space_group_IT_number 123
_space_group_name_Hall '-P 4 2'
loop_
_atom_site_label
_atom_site_type_symbol
_atom_site_fract_x
_atom_site_fract_y
_atom_site_fract_z
_atom_site_occupancy
Li1 Li 0.000 0.000 0.000 1
Hf1 Hf 0.500 0.500 0.500 1
P1 P 0.000 0.000 0.500 1
O1 O 0.000 0.500 0.000 1
```

Calculated values
Energy above the most stable polymorph in this dataset, meV/atom: 831.8
Formation energy (no corrections), meV/atom: -661


| no. | calculated volume (A^3/atom) | DFT total energy (eV per atom) |
| --- | --- | --- |
| 1 | 18.859 | -6.9306 |
| 2 | 13.722 | -5.2532 |
| 3 | 37.111 | -4.7891 |
| 4 | 32.256 | -4.2949 |
| 5 | 29.056 | -4.1330 |
| 6 | 11.452 | -6.0999 |